one.
# GGA-PBE YAlFeOs, optimized geometry
data_YAlFeOs
_chemical_formula_sum 'Y4 Al4 Fe4 Os4'
_space_group_name_H-M_alt 'F -4 3 m'
_space_group_IT_number 216
_space_group_name_Hall 'F -4 2 3'
_cell_length_a 6.4001
_cell_length_b 6.4001
_cell_length_c 6.4001
_cell_angle_alpha 90.00
_cell_angle_beta 90.00
_cell_angle_gamma 90.00
loop_
_atom_site_label
_atom_site_fract_x
_atom_site_fract_y
_atom_site_fract_z
Y1 0.0000 0.0000 0.0000
Al1 0.0000 0.0000 0.5000
Fe1 0.2500 0.2500 0.7500
Os1 0.2500 0.2500 0.2500
# calculated volume = 262.16 Å³/cell



two.
# GGA-PBE YAlFeOs, optimized geometry
data_YAlFeOs
_chemical_formula_sum 'Y4 Al4 Fe4 Os4'
_space_group_name_H-M_alt 'F -4 3 m'
_space_group_IT_number 216
_space_group_name_Hall 'F -4 2 3'
_cell_length_a 6.5085
_cell_length_b 6.5085
_cell_length_c 6.5085
_cell_angle_alpha 90.00
_cell_angle_beta 90.00
_cell_angle_gamma 90.00
loop_
_atom_site_label
_atom_site_fract_x
_atom_site_fract_y
_atom_site_fract_z
Y1 0.0000 0.0000 0.0000
Al1 0.2500 0.2500 0.2500
Fe1 0.0000 0.0000 0.5000
Os1 0.2500 0.2500 0.7500
# calculated volume = 275.70 Å³/cell



Most stable: one